Entry 1:
Ba2ZrU3O12 | PBE | optimized geometry

Unit cell a=7.8153 b=7.8153 c=7.8153 alpha=61.63 beta=61.63 gamma=61.63
Site moments in Bohr magnetons follow the coordinates.
Element x y z (fractional)
Ba1 0.6832 0.6832 0.6832  0.00
Ba2 0.3168 0.3168 0.3168  0.00
Zr1 0.0000 0.0000 0.0000  0.00
U1 0.5000 0.0000 0.0000  0.72
U2 0.0000 0.5000 0.0000  0.72
U3 0.0000 0.0000 0.5000  0.72
O1 0.3212 0.3212 0.9591  -0.02
O2 0.9318 0.9318 0.3184  -0.02
O3 0.3184 0.9318 0.9318  -0.02
O4 0.9591 0.3212 0.3212  -0.02
O5 0.9318 0.3184 0.9318  -0.02
O6 0.3212 0.9591 0.3212  -0.02
O7 0.6788 0.6788 0.0409  -0.02
O8 0.0682 0.0682 0.6816  -0.02
O9 0.6816 0.0682 0.0682  -0.02
O10 0.0409 0.6788 0.6788  -0.02
O11 0.0682 0.6816 0.0682  -0.02
O12 0.6788 0.0409 0.6788  -0.02

Values from the calculation:
The density is 6.04 Mg/m³. For the formation energy from raw total energies, the calculation gives -5436 kJ/mol of formula units. The uncorrected energy is -9.006 eV/atom. The value obtained for the total magnetic moment is 2.0 μB per cell. As for the space group: R-3m, No. 166.



Entry 2:
LiSiAs2Br | PBE | optimized geometry

Unit cell a=4.5639 b=4.5639 c=5.0990 alpha=90.00 beta=90.00 gamma=90.00
Element x y z (fractional)
As1 0.0000 0.5000 0.0000
As2 0.5000 0.0000 0.0000
Si1 0.5000 0.5000 0.5000
Br1 0.0000 0.0000 0.5000
Li1 0.0000 0.0000 0.0000

Values from the calculation:
The density is 4.14 Mg/m³. For the formation energy from raw total energies, the calculation gives 300 kJ/mol of formula units. The uncorrected energy is -3.041 eV/atom. The value obtained for the total magnetic moment is 0.0 μB per cell. As for the space group: P4/mmm, No. 123.



Entry 3:
CaHg2Cl | PBE | optimized geometry

Unit cell a=8.5885 b=8.5885 c=8.5885 alpha=26.99 beta=26.99 gamma=26.99
Element x y z (fractional)
Ca1 0.2500 0.2500 0.2500
Hg1 0.0022 0.0022 0.0022
Hg2 0.4978 0.4978 0.4978
Cl1 0.7500 0.7500 0.7500

Values from the calculation:
The density is 6.88 Mg/m³. For the formation energy from raw total energies, the calculation gives -202 kJ/mol of formula units. The uncorrected energy is -1.637 eV/atom. The value obtained for the total magnetic moment is 0.0 μB per cell. As for the space group: R-3m, No. 166.



Entry 4:
Pm4AuCI2 | PBE | optimized geometry

Unit cell a=3.9994 b=8.0168 c=7.5211 alpha=73.12 beta=90.00 gamma=90.00
Element x y z (fractional)
Pm1 0.0000 0.6849 0.7251
Pm2 0.0000 0.3151 0.2749
Pm3 0.5000 0.6788 0.3067
Pm4 0.5000 0.3212 0.6933
Au1 0.5000 0.5000 0.0000
C1 0.0000 0.5000 0.5000
I1 0.0000 0.0000 0.0000
I2 0.5000 0.0000 0.5000

Values from the calculation:
The density is 7.50 Mg/m³. For the formation energy from raw total energies, the calculation gives -548 kJ/mol of formula units. The uncorrected energy is -5.035 eV/atom. The value obtained for the total magnetic moment is 0.0 μB per cell. As for the space group: P2/m, No. 10.



> Look up the formation energy from raw total energies of the third one.

-202 kJ/mol of formula units